No. 1
VASP calculation (GGA-PBE) on crystalline YNpPa2N6 at its relaxed geometry.

Cell lengths 6.010, 6.010, 6.010 Å; angles 59.45, 59.45, 59.45 degrees
Atoms (fractional coordinates):
Y (0.000, 0.000, 0.000)
Np (0.489, 0.489, 0.489)
Pa (0.270, 0.270, 0.270)
Pa (0.774, 0.774, 0.774)
N (0.101, 0.652, 0.398)
N (0.175, 0.584, 0.874)
N (0.398, 0.101, 0.652)
N (0.584, 0.874, 0.175)
N (0.652, 0.398, 0.101)
N (0.874, 0.175, 0.584)

Summary:
**Space-group type**: No. 146
**E_form (uncorrected)**: -1.416 eV per atom

No. 2
VASP calculation (GGA-PBE) on crystalline Cr2IrPt at its relaxed geometry.

Cell lengths 2.668, 2.668, 7.539 Å; angles 90.00, 90.00, 90.00 degrees
Atoms (fractional coordinates):
Cr (0.000, 0.000, 0.243)
Cr (0.000, 0.000, 0.757)
Ir (0.500, 0.500, 0.000)
Pt (0.500, 0.500, 0.500)

Summary:
**Formation energy**: -0.7 eV per formula unit
**Space-group type**: No. 123

No. 3
VASP calculation (GGA-PBE) on crystalline Nb3V8Zn at its relaxed geometry.

Cell lengths 8.761, 8.761, 8.761 Å; angles 33.29, 33.29, 33.29 degrees
Atoms (fractional coordinates):
Nb (0.000, 0.000, 0.000)
Nb (0.124, 0.124, 0.124)
Nb (0.625, 0.625, 0.625)
V (0.059, 0.564, 0.564)
V (0.063, 0.063, 0.562)
V (0.063, 0.562, 0.063)
V (0.313, 0.313, 0.313)
V (0.562, 0.063, 0.063)
V (0.564, 0.059, 0.564)
V (0.564, 0.564, 0.059)
V (0.812, 0.812, 0.812)
Zn (0.500, 0.500, 0.500)

Summary:
**Formation energy**: 0.5 eV per formula unit
**Space-group type**: No. 160

No. 4
VASP calculation (GGA-PBE) on crystalline CdCu2Ir at its relaxed geometry.

Cell lengths 3.831, 3.831, 17.996 Å; angles 90.00, 90.00, 90.00 degrees
Atoms (fractional coordinates):
Cd (0.000, 0.000, 0.000)
Cd (0.000, 0.500, 0.250)
Cd (0.500, 0.000, 0.750)
Cd (0.500, 0.500, 0.500)
Cu (0.215, 0.250, 0.625)
Cu (0.250, 0.715, 0.875)
Cu (0.250, 0.785, 0.375)
Cu (0.285, 0.250, 0.125)
Cu (0.715, 0.750, 0.125)
Cu (0.750, 0.215, 0.375)
Cu (0.750, 0.285, 0.875)
Cu (0.785, 0.750, 0.625)
Ir (0.000, 0.000, 0.500)
Ir (0.000, 0.500, 0.750)
Ir (0.500, 0.000, 0.250)
Ir (0.500, 0.500, 0.000)

Summary:
**Formation energy**: 2.0 eV per formula unit
**Space-group type**: No. 122

No. 5
VASP calculation (GGA-PBE) on crystalline TmRuPbO6 at its relaxed geometry.

Cell lengths 5.493, 5.493, 4.856 Å; angles 90.00, 90.00, 120.00 degrees
Atoms (fractional coordinates):
Tm (0.000, 0.000, 0.000)
Ru (0.333, 0.667, 0.000)
Pb (0.667, 0.333, 0.500)
O (0.051, 0.369, 0.227)
O (0.051, 0.682, 0.773)
O (0.318, 0.369, 0.773)
O (0.318, 0.949, 0.227)
O (0.631, 0.682, 0.227)
O (0.631, 0.949, 0.773)

Summary:
**Space-group type**: No. 149
**E_form (uncorrected)**: -1.562 eV per atom

No. 6
VASP calculation (GGA-PBE) on crystalline Sm6P2RhS3 at its relaxed geometry.

Cell lengths 9.100, 9.100, 8.207 Å; angles 103.03, 103.03, 25.68 degrees
Atoms (fractional coordinates):
Sm (0.001, 0.001, 0.248)
Sm (0.331, 0.331, 0.420)
Sm (0.336, 0.336, 0.912)
Sm (0.664, 0.664, 0.088)
Sm (0.669, 0.669, 0.580)
Sm (0.999, 0.999, 0.752)
P (0.166, 0.166, 0.335)
P (0.834, 0.834, 0.665)
Rh (0.500, 0.500, 0.000)
S (0.169, 0.169, 0.833)
S (0.500, 0.500, 0.500)
S (0.831, 0.831, 0.167)

Summary:
**Space-group type**: No. 12
**E_form (uncorrected)**: -1.651 eV per atom

No. 7
VASP calculation (GGA-PBE) on crystalline Ti2BeReH at its relaxed geometry.

Cell lengths 4.247, 4.247, 3.224 Å; angles 90.00, 90.00, 90.00 degrees
Atoms (fractional coordinates):
Ti (0.000, 0.500, 0.000)
Ti (0.500, 0.000, 0.000)
Be (0.000, 0.000, 0.500)
Re (0.500, 0.500, 0.500)
H (0.000, 0.000, 0.000)

Summary:
**Space-group type**: No. 123

No. 8
VASP calculation (GGA-PBE) on crystalline BaCa2HgF8 at its relaxed geometry.

Cell lengths 4.096, 5.817, 7.975 Å; angles 90.00, 90.00, 90.00 degrees
Atoms (fractional coordinates):
Ba (0.000, 0.000, 0.000)
Ca (0.500, 0.500, 0.262)
Ca (0.500, 0.500, 0.738)
Hg (0.000, 0.000, 0.500)
F (0.000, 0.269, 0.268)
F (0.000, 0.269, 0.732)
F (0.000, 0.731, 0.268)
F (0.000, 0.731, 0.732)
F (0.500, 0.254, 0.500)
F (0.500, 0.279, 0.000)
F (0.500, 0.721, 0.000)
F (0.500, 0.746, 0.500)

Summary:
**Space-group type**: No. 47
**E_form (uncorrected)**: -3.260 eV per atom

| no. | calculated total energy (eV/atom) | V (Å³/cell) |
| --- | --- | --- |
| 1 | -10.25 | 151.6 |
| 2 | -8.71 | 53.7 |
| 3 | -8.66 | 180.4 |
| 4 | -4.00 | 264.1 |
| 5 | -6.81 | 126.9 |
| 6 | -6.56 | 286.6 |
| 7 | -7.35 | 58.2 |
| 8 | -5.03 | 190.0 |